# CaMg2Mn

CaMg2Mn at its PBEsol-relaxed geometry (SCAN, Alexandria via LeMat-Bulk).

a = 5.030 Å, b = 5.030 Å, c = 5.030 Å
α = 60.00°, β = 60.00°, γ = 60.00°
Last column: magnetic moment on the atom in μB.
Sites, in units of the cell vectors:
1 Ca 0.000 0.000 0.000  -0.05
2 Mg 0.750 0.750 0.750  -0.03
3 Mg 0.250 0.250 0.250  -0.03
4 Mn 0.500 0.500 0.500  4.27

Properties
* theoretical density: 2.651 Mg/m³
* energy relative to the elements: 0.7 kcal/mol of atoms